# Cu2Cl (PBE, optimized geometry)
data_Cu2Cl
_space_group_name_H-M_alt 'I 4/m m m'
_space_group_IT_number 139
_space_group_name_Hall '-I 4 2'
_cell_length_a 2.984
_cell_length_b 2.984
_cell_length_c 10.174
_cell_angle_alpha 90.00
_cell_angle_beta 90.00
_cell_angle_gamma 90.00
loop_
_atom_site_label
_atom_site_type_symbol
_atom_site_fract_x
_atom_site_fract_y
_atom_site_fract_z
Cu1 Cu 0.000 0.000 0.177
Cl1 Cl 0.000 0.000 0.500
# - Raw total energy: -3.142 eV per atom
# - ΔE_f (raw): 0.61 eV per formula unit
# - Relative energy among the computed polymorphs: 426 meV per atom
# - Total magnetization: 0.00 μB per cell